(1)
Below is an optimized crystal structure of Sm6AlZn, with properties calculated at the PBE level.

Geometry as POSCAR:
```
Sm6AlZn
1.0
-2.5809 2.5809 8.8171
2.5809 -2.5809 8.8171
2.5809 2.5809 -8.8171
Sm Al Zn
6 1 1
direct
0.1041 0.6041 0.5000
0.2482 0.2482 0.0000
0.3959 0.8959 0.5000
0.6041 0.1041 0.5000
0.7518 0.7518 0.0000
0.8959 0.3959 0.5000
0.0000 0.0000 0.0000
0.5000 0.5000 0.0000
```

Space group: No. 139
Density of states at the Fermi level (states/eV/atom): 1.163
ΔH_f (0 K) (eV per formula unit): -1.23

=====

(2)
Below is an optimized crystal structure of Sm4AlZn3, with properties calculated at the PBE level.

Geometry as POSCAR:
```
Sm4AlZn3
1.0
3.6442 0.0000 0.0000
0.0000 4.5457 0.0000
0.0000 0.0000 11.9453
Sm Al Zn
4 1 3
direct
0.0000 0.0000 0.0000
0.0000 0.5000 0.3025
0.5000 0.0000 0.4942
0.5000 0.5000 0.8073
0.0000 0.0000 0.7139
0.0000 0.5000 0.5866
0.5000 0.0000 0.2159
0.5000 0.5000 0.0867
```

Space group: No. 25
Excess energy over the best structure of this formula in the dataset (eV/atom): 0.034
Density of states at the Fermi level (states/eV/atom): 0.783
ΔH_f (0 K) (eV per formula unit): -2.36

=====

(3)
Below is an optimized crystal structure of SmAl2Zn2, with properties calculated at the PBE level.

Geometry as POSCAR:
```
SmAl2Zn2
1.0
-2.0834 2.0834 5.4731
2.0834 -2.0834 5.4731
2.0834 2.0834 -5.4731
Sm Al Zn
1 2 2
direct
0.0000 0.0000 0.0000
0.2500 0.7500 0.5000
0.7500 0.2500 0.5000
0.3894 0.3894 0.0000
0.6106 0.6106 0.0000
```

Space group: No. 139
Density of states at the Fermi level (states/eV/atom): 0.301
ΔH_f (0 K) (eV per formula unit): -2.14

=====

Which value of ΔH_f (0 K) does entry 3 give?
-2.14 eV per formula unit

=====

Repeat the first record exactly.
Below is an optimized crystal structure of Sm6AlZn, with properties calculated at the PBE level.

Geometry as POSCAR:
```
Sm6AlZn
1.0
-2.5809 2.5809 8.8171
2.5809 -2.5809 8.8171
2.5809 2.5809 -8.8171
Sm Al Zn
6 1 1
direct
0.1041 0.6041 0.5000
0.2482 0.2482 0.0000
0.3959 0.8959 0.5000
0.6041 0.1041 0.5000
0.7518 0.7518 0.0000
0.8959 0.3959 0.5000
0.0000 0.0000 0.0000
0.5000 0.5000 0.0000
```

Space group: No. 139
Density of states at the Fermi level (states/eV/atom): 1.163
ΔH_f (0 K) (eV per formula unit): -1.23

=====

Among the records above, which one has the lowest density of states at the Fermi level?
SmAl2Zn2